Entry 1:
# AcLaTlSn

A relaxed AcLaTlSn crystal (PBE-GGA, Alexandria).

a b c (Å): 4.584 6.638 6.638
angles (deg): 43.24 90.00 90.00
Atoms (fractional coordinates):
Ac (0.000, 0.000, 0.000)
La (0.500, 0.724, 0.724)
Tl (0.500, 0.443, 0.443)
Sn (0.000, 0.277, 0.277)

- Energy relative to the lowest polymorph listed for this composition: 0.0 meV/atom
- E: -4.4273 eV per atom
- SG: Amm2
- Energy relative to the elements: -576 meV per atom
- Calculated volume: 138.3 Å³/f.u.

Entry 2:
# PrSm4Hg2

A relaxed PrSm4Hg2 crystal (PBE-GGA, Alexandria).

a b c (Å): 10.975 10.975 10.975
angles (deg): 26.97 26.97 26.97
Atoms (fractional coordinates):
Pr (0.000, 0.000, 0.000)
Sm (0.202, 0.202, 0.202)
Sm (0.393, 0.393, 0.393)
Sm (0.607, 0.607, 0.607)
Sm (0.798, 0.798, 0.798)
Hg (0.101, 0.101, 0.101)
Hg (0.899, 0.899, 0.899)

- Energy relative to the lowest polymorph listed for this composition: 202.7 meV/atom
- E: -3.4348 eV per atom
- SG: R-3m
- Energy relative to the elements: 31 meV per atom
- Calculated volume: 239.8 Å³/f.u.

Entry 3:
# Pm4Nd5Hg4

A relaxed Pm4Nd5Hg4 crystal (PBE-GGA, Alexandria).

a b c (Å): 9.132 9.132 9.132
angles (deg): 94.82 94.82 146.29
Atoms (fractional coordinates):
Pm (0.097, 0.391, 0.488)
Pm (0.391, 0.903, 0.294)
Pm (0.609, 0.097, 0.706)
Pm (0.903, 0.609, 0.512)
Nd (0.000, 0.000, 0.000)
Nd (0.315, 0.618, 0.933)
Nd (0.382, 0.315, 0.697)
Nd (0.618, 0.685, 0.303)
Nd (0.685, 0.382, 0.067)
Hg (0.098, 0.763, 0.861)
Hg (0.237, 0.098, 0.335)
Hg (0.763, 0.902, 0.665)
Hg (0.902, 0.237, 0.139)

- E: -3.6930 eV per atom
- SG: I4/m
- Energy relative to the elements: -305 meV per atom
- Calculated volume: 404.5 Å³/f.u.

Entry 4:
# Cs2KSrI5

A relaxed Cs2KSrI5 crystal (PBE-GGA, Alexandria).

a b c (Å): 10.834 10.834 10.834
angles (deg): 146.37 131.54 60.27
Atoms (fractional coordinates):
Cs (0.204, 0.204, 0.000)
Cs (0.796, 0.796, 0.000)
K (0.500, 0.000, 0.500)
Sr (0.000, 0.500, 0.500)
I (0.000, 0.000, 0.000)
I (0.130, 0.374, 0.756)
I (0.382, 0.626, 0.756)
I (0.618, 0.374, 0.244)
I (0.870, 0.626, 0.244)

- E: -2.8819 eV per atom
- Formation energy (no corrections): -1522 meV per atom
- SG: Immm
- Calculated volume: 522.1 Å³/f.u.

Number 1: total magnetic moment 0.11 μB/atom. Number 2: total magnetic moment 0.01 μB/atom. Number 3: total magnetic moment 0.00 μB/atom. Number 4: total magnetic moment 0.00 μB/atom.